# ZrVO4

Crystalline ZrVO4 at its relaxed geometry (PBE with a Hubbard U, the Alexandria database).

Values from the calculation:
total DFT energy (no corrections) = -102.48 eV for the cell shown
theoretical density = 4.23 Mg/m³
DOS at the Fermi energy = 0.0 states/eV/cell
crystal system = triclinic
volume = 13.49 Å³ per atom

Cell: 5.491 5.631 6.488 Å, 102.50 103.09 117.00°
Space group P-1 (No. 2)
Symmetry-distinct sites (fractional):
Zr1 0.094 0.330 0.146 [2 per cell]
V1 0.190 0.923 0.394 [2 per cell]
O1 0.038 0.854 0.613 [2 per cell]
O2 0.133 0.442 0.861 [2 per cell]
O3 0.254 0.054 0.144 [2 per cell]
O4 0.414 0.738 0.394 [2 per cell]